DFT (SCAN) results for a crystal of SmAg3 relaxed with PBEsol.

```
SmAg3
1.0
6.292 0.000 0.000
-3.146 5.449 0.000
0.000 0.000 4.776
Sm Ag
2 6
Cartesian
0.000 3.633 1.194 Sm
3.146 1.816 3.582 Sm
0.000 1.657 3.582 Ag
-1.711 4.621 3.582 Ag
1.435 0.828 1.194 Ag
1.711 4.621 3.582 Ag
4.857 0.828 1.194 Ag
3.146 3.792 1.194 Ag
```

Summary:
Energy relative to the lowest polymorph listed for this composition, meV per atom: 0
Uncorrected energy, eV per atom: -34.85
D(E_F), states/eV/cell: 4.20
Total moment, μB per formula unit: 0.00

---

DFT (SCAN) results for a crystal of SmAg3 relaxed with PBEsol.

```
SmAg3
1.0
0.000 3.433 3.433
3.433 0.000 3.433
3.433 3.433 0.000
Sm Ag
1 3
Cartesian
0.000 0.000 0.000 Sm
1.716 1.716 1.716 Ag
3.433 3.433 3.433 Ag
5.149 5.149 5.149 Ag
```

Summary:
Energy relative to the lowest polymorph listed for this composition, meV per atom: 6
Uncorrected energy, eV per atom: -34.85
D(E_F), states/eV/cell: 2.01
Total moment, μB per formula unit: 0.00

---

DFT (SCAN) results for a crystal of SmAg2Sn relaxed with PBEsol.

```
SmAg2Sn
1.0
0.000 3.480 3.480
3.480 0.000 3.480
3.480 3.480 0.000
Sm Ag Sn
1 2 1
Cartesian
0.000 0.000 0.000 Sm
1.740 1.740 1.740 Ag
5.220 5.220 5.220 Ag
3.480 3.480 3.480 Sn
```

Summary:
Uncorrected energy, eV per atom: -36.20
D(E_F), states/eV/cell: 1.20
Total moment, μB per formula unit: 0.00

---

DFT (SCAN) results for a crystal of SmAgSn relaxed with PBEsol.

```
SmAgSn
1.0
4.855 0.000 0.000
-2.428 4.205 0.000
0.000 0.000 7.044
Sm Ag Sn
2 2 2
Cartesian
0.000 0.000 1.633 Sm
0.000 0.000 5.411 Sm
0.000 2.803 6.961 Ag
2.428 1.402 0.083 Ag
0.000 2.803 3.822 Sn
2.428 1.402 3.222 Sn
```

Summary:
Uncorrected energy, eV per atom: -37.64
D(E_F), states/eV/cell: 4.72
Total moment, μB per formula unit: 0.00

---

Q: Which of these has the lowest uncorrected energy?
A: SmAgSn